Entry 1:
A plane-wave DFT calculation with GGA-PBE was carried out for Er4CdHg2 after structural relaxation.

Cell lengths 5.1555, 5.1555, 24.9429 Å; angles 90.00, 90.00, 120.00 degrees
Closest atoms and distances in Å follow each position.
Space group R-3m (No. 166, hexagonal axes)
Symmetry-distinct sites (fractional):
Er: 0.0000 0.0000 0.1190  4 Hg 3.10-3.24, 3 Cd 3.21
Er: 0.0000 0.0000 0.3712  4 Hg 3.04-3.19, 1 Cd 3.21
Cd: 0.0000 0.0000 0.5000  8 Er 3.21
Hg: 0.0000 0.0000 0.2491  8 Er 3.04-3.24

Properties
offset from the most stable computed form	0.0000	eV/atom
crystal system	trigonal
formation energy	-1.9	eV/f.u.
magnetization	0.00	μB/f.u.
DFT total energy	-3.092	eV/atom
N(E_F)	7.31	states/eV/f.u.

Entry 2:
A plane-wave DFT calculation with GGA-PBE was carried out for Tb4Dy4Er after structural relaxation.

Cell lengths 10.6219, 10.6219, 4.9976 Å; angles 90.00, 90.00, 90.00 degrees
Closest atoms and distances in Å follow each position.
Space group I4/mmm (No. 139)
Symmetry-distinct sites (fractional):
Tb: 0.1665 0.1665 0.0000  2 Er 3.54, 6 Dy 3.54, 4 Tb 3.54
Dy: 0.0000 0.3333 0.5000  6 Tb 3.54, 5 Dy 3.54, 1 Er 3.54
Er: 0.0000 0.0000 0.5000  8 Tb 3.54, 4 Dy 3.54

Properties
offset from the most stable computed form	0.0000	eV/atom
crystal system	tetragonal
formation energy	0.2	eV/f.u.
magnetization	0.00	μB/f.u.
DFT total energy	-4.593	eV/atom
N(E_F)	12.79	states/eV/f.u.